Record 1
An optimized crystal structure of Li2Nb2Os, computed with GGA-PBE.

Geometry as extended XYZ:
```
10
Lattice="6.599 0.000 0.000 0.000 6.599 0.000 0.000 0.000 3.237" Properties=species:S:1:pos:R:3 pbc="T T T"
Nb 1.241 4.541 1.618
Nb 4.541 5.358 1.618
Nb 5.358 2.058 1.618
Nb 2.058 1.241 1.618
Os 0.000 0.000 0.000
Os 3.300 3.300 0.000
Li 2.535 5.835 0.000
Li 5.835 4.064 0.000
Li 4.064 0.764 0.000
Li 0.764 2.535 0.000
```

* ΔE_f: 426 meV per atom
* space group: No. 127

***

Record 2
An optimized crystal structure of LaPr2Br2N2, computed with GGA-PBE.

Geometry as extended XYZ:
```
7
Lattice="-0.347 -2.073 -4.229 4.513 -1.360 0.296 -4.383 -5.142 5.517" Properties=species:S:1:pos:R:3 pbc="T T T"
La 0.000 0.000 0.000
Pr -1.866 -5.565 2.881
Pr 1.649 -3.010 -1.297
Br -0.873 -2.602 1.347
Br 0.656 -5.973 0.237
N 2.257 -0.680 0.148
N -0.174 -1.037 -2.115
```

* space group: No. 139
* energy relative to the elements, uncorrected: -8.089 eV per formula unit

***

Record 3
An optimized crystal structure of CaSm3Os, computed with GGA-PBE.

Geometry as extended XYZ:
```
5
Lattice="-0.955 2.596 -4.847 -5.089 -2.282 -0.220 -2.084 4.382 2.757" Properties=species:S:1:pos:R:3 pbc="T T T"
Ca -4.064 2.348 -1.155
Os 0.000 0.000 0.000
Sm -2.544 -1.141 -0.110
Sm -1.042 2.191 1.379
Sm -0.478 1.298 -2.424
```

* ΔE_f: -19 meV per atom
* space group: No. 221

***

Record 4
An optimized crystal structure of CaBSbMo2, computed with GGA-PBE.

Geometry as extended XYZ:
```
5
Lattice="5.098 0.000 0.000 0.000 5.724 0.000 0.000 0.000 5.098" Properties=species:S:1:pos:R:3 pbc="T T T"
Sb 0.000 0.000 0.000
Mo 0.000 0.000 2.549
Mo 2.549 0.000 0.000
B 2.549 2.862 2.549
Ca 0.000 2.862 0.000
```

* space group: No. 123
* energy relative to the elements, uncorrected: 10.717 eV per formula unit

***

Record 5
An optimized crystal structure of RbNa2TlPb, computed with GGA-PBE.

Geometry as extended XYZ:
```
5
Lattice="6.086 0.000 0.000 0.000 6.086 0.000 0.000 0.000 6.079" Properties=species:S:1:pos:R:3 pbc="T T T"
Pb 0.000 0.000 0.000
Na 0.000 3.043 0.000
Na 3.043 0.000 0.000
Tl 0.000 0.000 3.040
Rb 3.043 3.043 3.040
```

* ΔE_f: -21 meV per atom
* space group: No. 123

***

Record 6
An optimized crystal structure of AlSb, computed with GGA-PBE.

Geometry as extended XYZ:
```
4
Lattice="5.862 -0.022 -0.056 2.628 5.240 0.056 -3.774 -3.374 2.955" Properties=species:S:1:pos:R:3 pbc="T T T"
Sb 4.294 -0.343 0.697
Sb 0.421 2.187 2.258
Al 3.040 2.511 0.753
Al 1.675 -0.668 2.202
```

* space group: No. 74
* energy relative to the elements, uncorrected: 0.434 eV per formula unit

***

Record 7
An optimized crystal structure of HfHgS3, computed with GGA-PBE.

Geometry as extended XYZ:
```
5
Lattice="-1.694 4.502 0.668 -4.137 -1.821 1.778 1.898 0.051 4.470" Properties=species:S:1:pos:R:3 pbc="T T T"
S -2.068 -0.910 0.889
S 0.949 0.025 2.235
S -0.847 2.251 0.334
Hf -1.966 1.366 3.458
Hg 0.000 0.000 0.000
```

* space group: No. 221
* energy relative to the elements, uncorrected: 3.532 eV per formula unit

***

Record 8
An optimized crystal structure of TeP3Pd, computed with GGA-PBE.

Geometry as extended XYZ:
```
5
Lattice="4.713 0.000 0.000 0.000 4.713 0.000 0.000 0.000 4.713" Properties=species:S:1:pos:R:3 pbc="T T T"
P 0.000 2.357 0.000
P 0.000 0.000 2.357
P 2.357 0.000 0.000
Te 2.357 2.357 2.357
Pd 0.000 0.000 0.000
```

* space group: No. 221
* energy relative to the elements, uncorrected: 3.741 eV per formula unit